# Nd2MgTl3Te6

A geometry-optimized Nd2MgTl3Te6 structure (PBE-GGA, Alexandria).

Lattice parameters (Å, degrees): 7.807 7.807 8.393 98.97 98.97 120.13
Fractional coordinates of all 12 atoms:
1 Te 0.608 0.929 0.783
2 Te 0.071 0.392 0.217
3 Te 0.246 0.246 0.779
4 Te 0.754 0.754 0.221
5 Te 0.392 0.071 0.217
6 Te 0.929 0.608 0.783
7 Tl 0.173 0.827 0.500
8 Tl 0.500 0.500 0.500
9 Tl 0.827 0.173 0.500
10 Mg 0.000 0.000 0.000
11 Nd 0.335 0.665 0.000
12 Nd 0.665 0.335 0.000

Output
- Calculated volume: 35.03 Å³/atom
- Uncorrected formation energy: -0.852 eV/atom
- Uncorrected energy: -47.30 eV for the cell shown

# USbI

A geometry-optimized USbI structure (PBE-GGA, Alexandria).

Lattice parameters (Å, degrees): 3.439 5.353 5.353 120.00 90.00 90.00
Fractional coordinates of all 3 atoms:
1 Sb 0.666 0.667 0.333
2 U 0.167 0.000 0.000
3 I 0.167 0.333 0.667

Output
- Polymorph energy (0 for the lowest one): 262.0 meV per atom
- Calculated volume: 28.45 Å³/atom
- Uncorrected formation energy: -0.009 eV/atom
- Uncorrected energy: -16.99 eV for the cell shown